DFT (PBE) results for a relaxed structure of Na16Tl12Pt.

```
Na16Tl12Pt
1.0
5.992 -8.267 0.000
5.992 8.267 0.000
-5.664 0.000 8.539
Na Tl Pt
16 12 1
Direct
0.000 0.000 0.000
0.021 0.248 0.735
0.141 0.862 0.265
0.230 0.574 0.697
0.248 0.021 0.735
0.269 0.586 0.118
0.292 0.897 0.995
0.569 0.988 0.375
0.573 0.573 0.347
0.574 0.230 0.697
0.586 0.269 0.118
0.602 0.602 0.723
0.862 0.141 0.265
0.881 0.881 0.408
0.897 0.292 0.995
0.988 0.569 0.375
0.202 0.399 0.318
0.208 0.208 0.513
0.363 0.788 0.509
0.396 0.396 0.901
0.399 0.202 0.318
0.574 0.771 0.072
0.576 0.963 0.881
0.739 0.937 0.663
0.771 0.574 0.072
0.788 0.363 0.509
0.937 0.739 0.663
0.963 0.576 0.881
0.285 0.285 0.081
```

formation energy from the elements = -0.104 eV/atom
SG = Cm (8)
crystal system = monoclinic

=====

DFT (PBE) results for a relaxed structure of Sr2Pa2Se2O5.

```
Sr2Pa2Se2O5
1.0
-2.162 2.162 12.745
2.162 -2.162 12.745
2.162 2.162 -12.745
Sr Pa Se O
2 2 2 5
Direct
0.175 0.175 0.000
0.825 0.825 0.000
0.417 0.417 0.000
0.583 0.583 0.000
0.302 0.302 0.000
0.698 0.698 0.000
0.097 0.597 0.500
0.403 0.903 0.500
0.500 0.500 0.000
0.597 0.097 0.500
0.903 0.403 0.500
```

E_form (uncorrected) = -3019 meV/atom
SG = I4/mmm (139)
crystal system = tetragonal

=====

DFT (PBE) results for a relaxed structure of HfNbSb2Te.

```
HfNbSb2Te
1.0
5.324 0.000 0.000
0.000 5.324 0.000
0.000 0.000 5.335
Hf Nb Sb Te
1 1 2 1
Direct
0.000 0.000 0.000
0.500 0.500 0.500
0.000 0.500 0.500
0.500 0.000 0.500
0.500 0.500 0.000
```

E_form (uncorrected) = 743 meV/atom
SG = P4/mmm (123)
crystal system = tetragonal
ΔE to the lowest computed polymorph = 0.000 eV/atom

=====

DFT (PBE) results for a relaxed structure of Cs3NbCl.

```
Cs3NbCl
1.0
7.180 0.000 0.000
0.000 7.180 0.000
0.000 0.000 7.180
Cs Nb Cl
3 1 1
Direct
0.000 0.000 0.500
0.000 0.500 0.000
0.500 0.000 0.000
0.000 0.000 0.000
0.500 0.500 0.500
```

E_form (uncorrected) = 444 meV/atom
SG = Pm-3m (221)
crystal system = cubic

=====

Quick rundown of calculated total energy, same order as above: -58.56 -87.32 -27.69 -12.26 eV per cell